(1)
# LiCr2Ir, optimized geometry, DFT PBE
data_LiCr2Ir
_chemical_formula_sum 'Li3 Cr6 Ir3'
_cell_length_a 2.6490
_cell_length_b 2.6490
_cell_length_c 26.9252
_cell_angle_alpha 90.00
_cell_angle_beta 90.00
_cell_angle_gamma 120.00
_space_group_name_H-M_alt 'R -3 m'
_space_group_IT_number 166
_space_group_name_Hall '-R 3 2"'
loop_
_atom_site_label
_atom_site_fract_x
_atom_site_fract_y
_atom_site_fract_z
Li1 0.0000 0.0000 0.0000
Cr1 0.0000 0.0000 0.2448
Ir1 0.0000 0.0000 0.5000
# Crystal system: trigonal
# Raw total energy in eV for the cell shown: -86.33
# Formation energy in eV per atom: 0.311

***

(2)
# LiCrIr, optimized geometry, DFT PBE
data_LiCrIr
_chemical_formula_sum 'Li4 Cr4 Ir4'
_cell_length_a 5.6984
_cell_length_b 5.6984
_cell_length_c 5.6984
_cell_angle_alpha 90.00
_cell_angle_beta 90.00
_cell_angle_gamma 90.00
_space_group_name_H-M_alt 'F -4 3 m'
_space_group_IT_number 216
_space_group_name_Hall 'F -4 2 3'
loop_
_atom_site_label
_atom_site_fract_x
_atom_site_fract_y
_atom_site_fract_z
Li1 0.0000 0.0000 0.0000
Cr1 0.0000 0.0000 0.5000
Ir1 0.2500 0.2500 0.7500
# Crystal system: cubic
# Raw total energy in eV for the cell shown: -77.35
# Distance to the lowest polymorph of the same formula in eV/atom: 0.315
# Formation energy in eV per atom: 0.354

***

(3)
# LiCr2Ir, optimized geometry, DFT PBE
data_LiCr2Ir
_chemical_formula_sum 'Li1 Cr2 Ir1'
_cell_length_a 2.9400
_cell_length_b 4.0368
_cell_length_c 4.2765
_cell_angle_alpha 90.00
_cell_angle_beta 90.00
_cell_angle_gamma 90.00
_space_group_name_H-M_alt 'P m m m'
_space_group_IT_number 47
loop_
_space_group_symop_operation_xyz
'x,y,z'
'-x,-y,-z'
'-x,-y,z'
'x,y,-z'
'x,-y,-z'
'-x,y,z'
'-x,y,-z'
'x,-y,z'
loop_
_atom_site_label
_atom_site_fract_x
_atom_site_fract_y
_atom_site_fract_z
Li1 0.0000 0.0000 0.0000
Cr1 0.0000 0.5000 0.5000
Cr2 0.5000 0.0000 0.5000
Ir1 0.5000 0.5000 0.0000
# Crystal system: orthorhombic
# Raw total energy in eV for the cell shown: -29.76
# Formation energy in eV per atom: 0.066

***

(4)
# LiCr2Ir, optimized geometry, DFT PBE
data_LiCr2Ir
_chemical_formula_sum 'Li1 Cr2 Ir1'
_cell_length_a 2.9722
_cell_length_b 2.9722
_cell_length_c 5.7833
_cell_angle_alpha 90.00
_cell_angle_beta 90.00
_cell_angle_gamma 90.00
_space_group_name_H-M_alt 'P 4 m m'
_space_group_IT_number 99
loop_
_space_group_symop_operation_xyz
'x,y,z'
'-y,x,z'
'-x,-y,z'
'y,-x,z'
'-x,y,z'
'y,x,z'
'x,-y,z'
'-y,-x,z'
loop_
_atom_site_label
_atom_site_fract_x
_atom_site_fract_y
_atom_site_fract_z
Li1 0.0000 0.0000 0.0000
Cr1 0.0000 0.0000 0.4971
Cr2 0.5000 0.5000 0.2589
Ir1 0.5000 0.5000 0.7547
# Crystal system: tetragonal
# Raw total energy in eV for the cell shown: -29.64
# Formation energy in eV per atom: 0.095

***

(5)
# LiMnCrIr2, optimized geometry, DFT PBE
data_LiMnCrIr2
_chemical_formula_sum 'Li1 Mn1 Cr1 Ir2'
_cell_length_a 4.0347
_cell_length_b 4.0347
_cell_length_c 3.8913
_cell_angle_alpha 90.00
_cell_angle_beta 90.00
_cell_angle_gamma 90.00
_space_group_name_H-M_alt 'P 4/m m m'
_space_group_IT_number 123
_space_group_name_Hall '-P 4 2'
loop_
_atom_site_label
_atom_site_fract_x
_atom_site_fract_y
_atom_site_fract_z
Li1 0.0000 0.0000 0.0000
Mn1 0.0000 0.0000 0.5000
Cr1 0.5000 0.5000 0.5000
Ir1 0.0000 0.5000 0.0000
# Crystal system: tetragonal
# Raw total energy in eV for the cell shown: -33.62
# Formation energy in eV per atom: 0.963

***

(6)
# LiMnCrIr, optimized geometry, DFT PBE
data_LiMnCrIr
_chemical_formula_sum 'Li4 Mn4 Cr4 Ir4'
_cell_length_a 5.8476
_cell_length_b 5.8476
_cell_length_c 5.8476
_cell_angle_alpha 90.00
_cell_angle_beta 90.00
_cell_angle_gamma 90.00
_space_group_name_H-M_alt 'F -4 3 m'
_space_group_IT_number 216
_space_group_name_Hall 'F -4 2 3'
loop_
_atom_site_label
_atom_site_fract_x
_atom_site_fract_y
_atom_site_fract_z
Li1 0.0000 0.0000 0.0000
Mn1 0.2500 0.2500 0.2500
Cr1 0.0000 0.0000 0.5000
Ir1 0.2500 0.2500 0.7500
# Crystal system: cubic
# Raw total energy in eV for the cell shown: -118.68
# Formation energy in eV per atom: -0.026

***

(7)
# LiCrMoIr, optimized geometry, DFT PBE
data_LiCrMoIr
_chemical_formula_sum 'Li4 Cr4 Mo4 Ir4'
_cell_length_a 6.0455
_cell_length_b 6.0455
_cell_length_c 6.0455
_cell_angle_alpha 90.00
_cell_angle_beta 90.00
_cell_angle_gamma 90.00
_space_group_name_H-M_alt 'F -4 3 m'
_space_group_IT_number 216
_space_group_name_Hall 'F -4 2 3'
loop_
_atom_site_label
_atom_site_fract_x
_atom_site_fract_y
_atom_site_fract_z
Li1 0.0000 0.0000 0.0000
Cr1 0.2500 0.2500 0.2500
Mo1 0.0000 0.0000 0.5000
Ir1 0.2500 0.2500 0.7500
# Crystal system: cubic
# Raw total energy in eV for the cell shown: -124.39
# Formation energy in eV per atom: 0.033

***

(8)
# Li2CrIrN, optimized geometry, DFT PBE
data_Li2CrIrN
_chemical_formula_sum 'Li2 Cr1 Ir1 N1'
_cell_length_a 3.8250
_cell_length_b 3.8250
_cell_length_c 3.7162
_cell_angle_alpha 90.00
_cell_angle_beta 90.00
_cell_angle_gamma 90.00
_space_group_name_H-M_alt 'P 4/m m m'
_space_group_IT_number 123
_space_group_name_Hall '-P 4 2'
loop_
_atom_site_label
_atom_site_fract_x
_atom_site_fract_y
_atom_site_fract_z
Li1 0.0000 0.5000 0.0000
Cr1 0.0000 0.0000 0.5000
Ir1 0.5000 0.5000 0.5000
N1 0.0000 0.0000 0.0000
# Crystal system: tetragonal
# Formation energy without anion corrections in eV/atom: -0.035
# Raw total energy in eV for the cell shown: -30.81